DFT (PBE-GGA) results for crystalline Zr2ScCd at its relaxed geometry.

The calculation puts the volume at 22.67 Å³/atom. The calculation puts the magnetic moment at 0.000 μB per formula unit. The calculation puts the offset from the most stable computed form at 113 meV per atom. Its formation energy is -0.0051 eV/atom. The raw total energy comes out at -6.0909 eV per atom.

The space group is P2/m (No. 10) and the conventional cell measures 3.076, 5.435 and 5.449 Å, with angles of 90.00, 95.32 and 90.00 degrees. The asymmetric unit holds Zr at (0.206, 0.000, 0.253), Sc at (0.500, 0.500, 0.000) and Cd at (0.000, 0.500, 0.500).

***

DFT (PBE-GGA) results for crystalline BaAlSeN2 at its relaxed geometry.

The calculation puts the volume at 28.12 Å³/atom. The calculation puts the magnetic moment at 2.378 μB per formula unit. The calculation puts the offset from the most stable computed form at 1510 meV per atom. The raw total energy comes out at -3.6273 eV per atom. The uncorrected formation energy comes out at 7.66 eV per formula unit.

The space group is P4/mmm (No. 123) and the conventional cell measures 4.555, 4.555 and 6.775 Å, with angles of 90.00, 90.00 and 90.00 degrees. The asymmetric unit holds Ba at (0.000, 0.000, 0.000), Al at (0.500, 0.500, 0.500), Se at (0.000, 0.000, 0.500) and N at (0.000, 0.500, 0.000).

***

DFT (PBE-GGA) results for crystalline AsRuCl2 at its relaxed geometry.

The calculation puts the volume at 22.19 Å³/atom. The calculation puts the magnetic moment at 0.000 μB per formula unit. The calculation puts the offset from the most stable computed form at 514 meV per atom. The raw total energy comes out at -4.2159 eV per atom. The uncorrected formation energy comes out at 0.75 eV per formula unit.

The space group is Cmm2 (No. 35) and the conventional cell measures 3.269, 5.937 and 9.147 Å, with angles of 90.00, 90.00 and 90.00 degrees. The asymmetric unit holds As at (0.000, 0.000, 0.000), Ru at (0.000, 0.500, 0.185), Cl at (0.000, 0.000, 0.386) and Cl at (0.000, 0.500, 0.775).